The following is a DFT calculation (GGA-PBEsol) of MgGeBi3 after structural relaxation.

The structure in POSCAR format:
```
MgGeBi3
1.0
-1.2491 3.0636 4.3637
-5.3032 -0.2509 -1.3419
-0.5508 -4.5320 3.0241
Bi Mg Ge
3 1 1
Cartesian
-2.6516 -0.1254 -0.6710
-0.2754 -2.2660 1.5121
-0.6246 1.5318 2.1818
-3.5516 -0.8596 3.0229
0.0000 0.0000 0.0000
```

Calculated values
As for the total magnetization: 0.000 μB/cell. As for the symmetry: Pm-3m. The relative energy among the computed polymorphs comes out at 0.0 meV per atom. As for the total energy: -3.358 eV/atom. The formation energy comes out at 0.54 eV/atom.